Pm2PrIn2 | PBE-GGA | optimized geometry

Results
Magnetization, μB per atom: 0.000
D(E_F), states/eV/f.u.: 4.6
Energy of formation, meV per atom: -388
Energy, eV for the cell shown: -43.39

Cell lengths 4.510, 5.058, 13.283 Å; angles 90.00, 99.73, 90.00 degrees
Fractional coordinates of all 10 atoms:
Pm (0.049, 0.250, 0.099)
Pm (0.238, 0.250, 0.478)
Pm (0.762, 0.750, 0.522)
Pm (0.951, 0.750, 0.901)
Pr (0.144, 0.750, 0.287)
Pr (0.856, 0.250, 0.713)
In (0.351, 0.750, 0.701)
In (0.454, 0.250, 0.909)
In (0.546, 0.750, 0.091)
In (0.649, 0.250, 0.299)